The following is a DFT calculation (GGA+U) of a relaxed K2MoP2O6 crystal.

POSCAR file:
```
K2MoP2O6
1.0
-5.728 -0.062 -0.627
-2.395 -2.983 -4.310
-3.022 -5.567 1.680
O P Mo K
6 2 1 2
Direct
0.710 0.263 0.764
0.263 0.710 0.764
0.263 0.263 0.764
0.737 0.290 0.236
0.737 0.737 0.236
0.290 0.737 0.236
0.565 0.565 0.306
0.435 0.435 0.694
0.000 0.000 0.000
0.220 0.220 0.339
0.780 0.780 0.661
```

Summary:
- Spin magnetization: 2.00 μB per formula unit
- Final energy: -6.4158 eV per atom
- Volume: 14.76 Å³ per atom
- SG: No. 166